# 1
SrAcSbI, optimized geometry, DFT PBE; ρ = 5.0 g cm⁻³; E_tot = -3.992 eV/atom; spin magnetization = 0.000 μB per formula unit; density of states at the Fermi level = 0.088 states/eV/atom; E_form (uncorrected) = -1127 meV/atom
1.0
4.802 0.000 0.000
2.401 4.159 0.000
2.401 1.386 18.688
Sr Ac Sb I
2 2 2 2
Direct
0.599 0.599 0.202
0.401 0.401 0.798
0.801 0.801 0.597
0.199 0.199 0.403
0.104 0.104 0.689
0.896 0.896 0.311
0.702 0.702 0.894
0.298 0.298 0.106


# 2
SrAcSbI, optimized geometry, DFT PBE; ρ = 6.8 g cm⁻³; E_tot = -3.924 eV/atom; spin magnetization = 0.000 μB per formula unit; density of states at the Fermi level = 0.525 states/eV/atom; E_form (uncorrected) = -1058 meV/atom
1.0
-3.522 4.421 -1.298
-5.590 -0.199 1.533
-1.978 3.464 4.210
I Sb Ac Sr
1 1 1 1
Direct
0.500 0.500 0.500
0.000 0.000 0.000
0.250 0.250 0.250
0.750 0.750 0.750


# 3
Ac6Sb2Te3I, optimized geometry, DFT PBE; ρ = 7.7 g cm⁻³; E_tot = -4.978 eV/atom; spin magnetization = 0.000 μB per formula unit; density of states at the Fermi level = 0.503 states/eV/atom; E_form (uncorrected) = -1322 meV/atom
1.0
4.762 0.000 0.000
0.000 9.504 0.354
-2.381 -2.723 10.009
Ac Sb Te I
6 2 3 1
Direct
0.326 0.908 0.652
0.670 0.579 0.339
0.674 0.092 0.348
0.003 0.266 0.006
0.997 0.734 0.994
0.330 0.421 0.661
0.834 0.669 0.669
0.166 0.331 0.331
0.500 0.500 0.000
0.837 0.167 0.675
0.163 0.833 0.325
0.500 0.000 0.000


# 4
Ac6Sb3Te2I, optimized geometry, DFT PBE; ρ = 7.6 g cm⁻³; E_tot = -5.041 eV/atom; spin magnetization = 0.000 μB per formula unit; density of states at the Fermi level = 0.498 states/eV/atom; E_form (uncorrected) = -1303 meV/atom
1.0
-3.094 -3.641 0.148
7.054 -6.079 -2.069
1.712 2.103 10.324
Ac Sb Te I
6 3 2 1
Direct
0.325 0.918 0.650
0.666 0.590 0.331
0.675 0.082 0.350
0.999 0.267 0.998
0.001 0.733 0.002
0.334 0.410 0.669
0.500 0.500 0.000
0.837 0.166 0.674
0.163 0.834 0.326
0.834 0.667 0.668
0.166 0.333 0.332
0.500 0.000 0.000


# 5
Ac2SeI, optimized geometry, DFT PBE; ρ = 8.7 g cm⁻³; E_tot = -4.490 eV/atom; spin magnetization = 0.000 μB per formula unit; density of states at the Fermi level = 0.840 states/eV/atom; E_form (uncorrected) = -1177 meV/atom
1.0
5.626 0.000 0.000
2.813 4.872 0.000
2.813 1.624 4.594
I Ac Se
1 2 1
Direct
0.000 0.000 0.000
0.250 0.250 0.250
0.750 0.750 0.750
0.500 0.500 0.500


# 6
Ac2SeI4, optimized geometry, DFT PBE; ρ = 4.1 g cm⁻³; E_tot = -4.147 eV/atom; spin magnetization = 0.000 μB per formula unit; density of states at the Fermi level = 0.000 states/eV/atom; E_form (uncorrected) = -1589 meV/atom
1.0
-2.286 3.275 1.550
-11.418 -8.045 0.163
3.034 -4.043 13.021
Ac Se I
4 2 8
Direct
0.000 0.116 0.884
0.000 0.884 0.116
0.500 0.616 0.616
0.500 0.384 0.384
0.500 0.000 0.000
0.000 0.500 0.500
0.000 0.211 0.428
0.000 0.789 0.572
0.500 0.072 0.711
0.500 0.928 0.289
0.500 0.289 0.928
0.500 0.711 0.072
0.000 0.428 0.211
0.000 0.572 0.789


# 7
Ac3Se3I, optimized geometry, DFT PBE; ρ = 7.0 g cm⁻³; E_tot = -5.203 eV/atom; spin magnetization = 0.000 μB per formula unit; density of states at the Fermi level = 0.359 states/eV/atom; E_form (uncorrected) = -1727 meV/atom
1.0
9.526 0.000 0.000
4.763 8.249 0.000
4.763 2.750 6.272
Ac Se I
6 6 2
Direct
0.272 0.567 0.245
0.915 0.272 0.245
0.567 0.915 0.245
0.433 0.085 0.755
0.085 0.728 0.755
0.728 0.433 0.755
0.388 0.785 0.740
0.785 0.087 0.740
0.087 0.388 0.740
0.913 0.612 0.260
0.215 0.913 0.260
0.612 0.215 0.260
0.330 0.330 0.010
0.670 0.670 0.990


# 8
Ac6Se8I, optimized geometry, DFT PBE; ρ = 5.9 g cm⁻³; E_tot = -5.403 eV/atom; spin magnetization = 0.000 μB per formula unit; density of states at the Fermi level = 0.238 states/eV/atom; E_form (uncorrected) = -1798 meV/atom
1.0
-2.708 3.512 1.342
-6.325 -7.614 7.167
9.777 5.848 4.422
Ac Se I
6 8 1
Direct
0.745 0.541 0.681
0.745 0.319 0.860
0.745 0.140 0.459
0.255 0.459 0.319
0.255 0.681 0.140
0.255 0.860 0.541
0.755 0.608 0.956
0.755 0.044 0.652
0.755 0.348 0.392
0.245 0.392 0.044
0.245 0.956 0.348
0.245 0.652 0.608
0.752 0.667 0.333
0.248 0.333 0.667
0.500 0.000 0.000


# 9
Ac2SeI, optimized geometry, DFT PBE; ρ = 8.7 g cm⁻³; E_tot = -4.526 eV/atom; spin magnetization = 0.000 μB per formula unit; density of states at the Fermi level = 0.715 states/eV/atom; E_form (uncorrected) = -1213 meV/atom
1.0
-1.233 3.187 -2.003
-3.587 -0.356 1.642
2.304 4.696 6.051
I Ac Se
1 2 1
Direct
0.500 0.500 0.500
0.000 0.000 0.766
0.000 0.000 0.234
0.500 0.500 0.000


# 10
Ac2SeI, optimized geometry, DFT PBE; ρ = 7.8 g cm⁻³; E_tot = -4.670 eV/atom; spin magnetization = 0.674 μB per formula unit; density of states at the Fermi level = 0.708 states/eV/atom; E_form (uncorrected) = -1357 meV/atom
1.0
4.222 0.000 0.000
2.111 3.656 0.000
2.111 1.219 9.076
Ac Se I
2 1 1
Direct
0.073 0.073 0.782
0.261 0.261 0.216
0.666 0.666 0.002
0.500 0.500 0.500


# 11
Ac2Se2I, optimized geometry, DFT PBE; ρ = 6.3 g cm⁻³; E_tot = -4.854 eV/atom; spin magnetization = 0.976 μB per formula unit; density of states at the Fermi level = 0.077 states/eV/atom; E_form (uncorrected) = -1507 meV/atom
1.0
5.059 0.002 0.001
2.529 4.381 0.001
2.528 1.460 8.722
Ac Se I
2 2 1
Direct
0.580 0.080 0.261
0.420 0.920 0.739
0.219 0.719 0.342
0.781 0.281 0.658
0.000 0.500 0.000


# 12
Ac7SeI12, optimized geometry, DFT PBE; ρ = 5.9 g cm⁻³; E_tot = -3.960 eV/atom; spin magnetization = 0.000 μB per formula unit; density of states at the Fermi level = 0.144 states/eV/atom; E_form (uncorrected) = -1417 meV/atom
1.0
9.930 -0.287 -3.074
-4.090 9.053 -3.074
-0.191 -0.287 10.393
Ac Se I
7 1 12
Direct
0.958 0.678 0.885
0.322 0.115 0.042
0.115 0.042 0.322
0.500 0.500 0.500
0.885 0.958 0.678
0.678 0.885 0.958
0.042 0.322 0.115
0.000 0.000 0.000
0.923 0.312 0.772
0.688 0.228 0.077
0.482 0.153 0.396
0.847 0.604 0.518
0.228 0.077 0.688
0.604 0.518 0.847
0.396 0.482 0.153
0.772 0.923 0.312
0.153 0.396 0.482
0.518 0.847 0.604
0.312 0.772 0.923
0.077 0.688 0.228